(1)
PBE-GGA Pu6IrPt2, relaxed; E_form = 15 meV/atom; electronic total energy = -11.8663 eV per atom
1.0
2.7317 0.0000 0.0000
0.0000 8.0107 0.0000
0.0000 -4.0054 6.9375
Pu Pt Ir
6 2 1
Cartesian
2.5532 1.4341 6.9373 Pu
2.5532 1.2854 2.2269 Pu
0.1785 2.7199 4.7106 Pu
0.1785 2.5712 0.0002 Pu
2.5532 -2.7196 4.7109 Pu
0.1785 6.7249 2.2266 Pu
1.3662 0.0000 4.6250 Pt
1.3655 4.0054 2.3125 Pt
1.3659 0.0000 0.0000 Ir

(2)
PBE-GGA Pu6IrPt5, relaxed; E_form = -687 meV/atom; electronic total energy = -11.1088 eV per atom
1.0
4.7013 -0.0217 1.5667
0.0288 6.9481 0.0096
-0.0006 -0.0108 7.8387
Pu Pt Ir
6 5 1
Cartesian
0.7744 1.7076 5.5371 Pu
3.9552 5.2079 3.8780 Pu
2.3577 1.6951 0.7857 Pu
2.3724 5.2313 0.7906 Pu
3.9406 1.6968 3.8731 Pu
0.7889 5.2188 5.5419 Pu
0.0144 3.4740 0.0048 Pt
3.1432 -0.0217 6.2420 Pt
1.5686 3.4632 3.1782 Pt
3.1610 3.4524 6.2369 Pt
1.5575 -0.0108 3.1635 Pt
0.0000 0.0000 0.0000 Ir

(3)
PBE-GGA Pu4Ir3Pt, relaxed; E_form = -500 meV/atom; electronic total energy = -11.7438 eV per atom
1.0
-4.0495 -4.3723 -0.3575
5.3298 -2.3290 1.3462
-1.6148 3.8650 4.2541
Pu Ir Pt
4 3 1
Cartesian
-0.8073 1.9322 2.1267 Pu
-0.1672 -1.4184 2.6218 Pu
2.6645 -1.1643 0.6730 Pu
-2.0244 -2.1858 -0.1787 Pu
-2.8321 -0.2536 1.9483 Ir
1.8575 0.7680 2.8002 Ir
0.6402 -3.3507 0.4943 Ir
0.0000 0.0000 0.0000 Pt

(4)
PBE-GGA Pu5Ir2Pt2, relaxed; E_form = -414 meV/atom; electronic total energy = -11.6877 eV per atom
1.0
-0.2902 2.2292 -4.4222
-7.8619 2.8479 1.9517
7.6001 4.8097 4.7082
Pt Pu Ir
4 10 4
Cartesian
0.1010 2.3451 -1.6044 Pt
-1.2403 7.7545 3.9879 Pt
-3.6851 2.6565 1.5784 Pt
2.5458 7.4430 0.8051 Pt
-2.4626 5.2050 2.7843 Pu
-1.0206 1.7949 0.9738 Pu
3.4365 4.6830 2.1356 Pu
-5.0968 4.3351 -0.2647 Pu
-1.9599 4.4690 -0.4015 Pu
1.3382 6.7134 3.2984 Pu
1.3233 4.8946 -0.4008 Pu
2.1162 1.9300 0.8345 Pu
-0.6396 7.2219 0.8997 Pu
5.1239 6.4056 0.1083 Pu
-3.0572 2.1695 -1.4882 Ir
-6.8430 2.4788 1.6987 Ir
0.1602 4.2541 2.1348 Ir
-3.9159 6.7933 0.8982 Ir